{
  "formula": "Ac6As2P3O",
  "functional": "PBE-GGA",
  "state": "relaxed",
  "lattice_angstrom": [[9.544, -2.203, 0.000], [9.544, 2.203, 0.000], [-2.030, 0.000, 8.558]],
  "species": ["Ac", "Ac", "Ac", "Ac", "Ac", "Ac", "As", "As", "P", "P", "P", "O"],
  "frac_coords": [[0.003, 0.003, 0.260], [0.334, 0.334, 0.912], [0.341, 0.341, 0.425], [0.659, 0.659, 0.575], [0.666, 0.666, 0.088], [0.997, 0.997, 0.740], [0.164, 0.164, 0.829], [0.836, 0.836, 0.171], [0.168, 0.168, 0.337], [0.500, 0.500, 0.000], [0.832, 0.832, 0.663], [0.500, 0.500, 0.500]],
  "e_form_raw_ev_per_atom": -1.600,
  "spacegroup": "C2/m (12)"
}


{
  "formula": "Ac3AsPO",
  "functional": "PBE-GGA",
  "state": "relaxed",
  "lattice_angstrom": [[9.092, 0.000, 0.000], [0.000, 4.338, 0.000], [-1.789, 0.000, 9.323]],
  "species": ["Ac", "Ac", "Ac", "Ac", "Ac", "Ac", "As", "As", "P", "P", "O", "O"],
  "frac_coords": [[0.084, 0.250, 0.331], [0.319, 0.250, 0.986], [0.395, 0.750, 0.646], [0.605, 0.250, 0.354], [0.681, 0.750, 0.014], [0.916, 0.750, 0.669], [0.333, 0.750, 0.283], [0.667, 0.250, 0.717], [0.155, 0.250, 0.657], [0.845, 0.750, 0.343], [0.413, 0.750, 0.909], [0.587, 0.250, 0.091]],
  "e_form_raw_ev_per_atom": -1.889,
  "spacegroup": "P2_1/m (11)"
}


{
  "formula": "AcPaAs2O8",
  "functional": "PBE-GGA",
  "state": "relaxed",
  "lattice_angstrom": [[-3.710, 3.710, 3.417], [3.710, -3.710, 3.417], [3.710, 3.710, -3.417]],
  "species": ["Ac", "Pa", "As", "As", "O", "O", "O", "O", "O", "O", "O", "O"],
  "frac_coords": [[0.000, 0.000, 0.000], [0.250, 0.750, 0.500], [0.500, 0.500, 0.000], [0.750, 0.250, 0.500], [0.310, 0.099, 0.789], [0.310, 0.521, 0.211], [0.410, 0.082, 0.328], [0.479, 0.690, 0.789], [0.754, 0.082, 0.672], [0.901, 0.690, 0.211], [0.918, 0.246, 0.328], [0.918, 0.590, 0.672]],
  "e_form_raw_ev_per_atom": -2.340,
  "spacegroup": "I-4m2 (119)"
}


{
  "formula": "AcPaAsO2",
  "functional": "PBE-GGA",
  "state": "relaxed",
  "lattice_angstrom": [[-1.960, 1.960, 6.460], [1.960, -1.960, 6.460], [1.960, 1.960, -6.460]],
  "species": ["Ac", "Pa", "As", "O", "O"],
  "frac_coords": [[0.000, 0.000, 0.000], [0.285, 0.285, 0.000], [0.649, 0.649, 0.000], [0.375, 0.875, 0.500], [0.875, 0.375, 0.500]],
  "e_form_raw_ev_per_atom": -2.619,
  "spacegroup": "I4mm (107)"
}


| no. | total energy (eV/atom) | D(E_F) (states/eV/atom) | spin magnetization (Bohr magnetons per cell) |
| --- | --- | --- | --- |
| 1 | -6.1949 | 0.2162 | 0.000 |
| 2 | -6.4460 | 0.4345 | 0.001 |
| 3 | -7.5545 | 0.0000 | 0.000 |
| 4 | -8.2530 | 0.6098 | 0.973 |